(one)
The following is a GGA-PBE calculation of a geometry-optimized BiW2C structure, from Alexandria via LeMat-Bulk.

Unit cell a=4.4778 b=4.4778 c=4.4778 alpha=60.00 beta=60.00 gamma=60.00
Closest atoms and distances in Å follow each position.
Fractional coordinates of all 4 atoms:
Bi: 0.0000 0.0000 0.0000  8 W 2.74
W: 0.2500 0.2500 0.2500  4 C 2.74, 4 Bi 2.74
W: 0.7500 0.7500 0.7500  4 C 2.74, 4 Bi 2.74
C: 0.5000 0.5000 0.5000  8 W 2.74

---

(two)
The following is a GGA-PBE calculation of a geometry-optimized BiW2C structure, from Alexandria via LeMat-Bulk.

Unit cell a=7.0601 b=7.0601 c=7.0601 alpha=137.31 beta=137.31 gamma=61.96
Closest atoms and distances in Å follow each position.
Fractional coordinates of all 8 atoms:
Bi: 0.0000 0.0000 0.0000  4 W 2.89
Bi: 0.7500 0.2500 0.5000  4 W 2.89
W: 0.2834 0.6250 0.1584  2 C 2.04
W: 0.3750 0.5334 0.6584  2 C 2.04
W: 0.4666 0.1250 0.8416  2 C 2.04
W: 0.8750 0.7166 0.3416  2 C 2.04
C: 0.2500 0.7500 0.5000  4 W 2.04
C: 0.5000 0.5000 0.0000  4 W 2.04

---

Each structure's energy above the most stable one, in kJ/mol of atoms: (one) 84.6; (two) 0.0.